Record 1
DyAl3NiPd | PBE | relaxed

a b c (Å): 5.6543 6.0972 6.8405
angles (deg): 116.47 90.00 90.00
With the nearest neighbours (Å) after each atom.
Element x y z (fractional)
Dy1 0.7500 0.2763 0.5526  1 Ni 2.57
Dy2 0.2500 0.7237 0.4474  1 Ni 2.57
Al1 0.2500 0.1394 0.2789  1 Ni 2.52, 1 Pd 2.59, 4 Al 2.82
Al2 0.0000 0.2863 0.0000  2 Ni 2.39, 1 Al 2.61, 2 Pd 2.65
Al3 0.5000 0.7137 0.0000  2 Ni 2.39, 1 Al 2.61, 2 Pd 2.65
Al4 0.5000 0.2863 0.0000  2 Ni 2.39, 1 Al 2.61, 2 Pd 2.65
Al5 0.0000 0.7137 0.0000  2 Ni 2.39, 1 Al 2.61, 2 Pd 2.65
Al6 0.7500 0.8606 0.7211  1 Ni 2.52, 1 Pd 2.59, 4 Al 2.82
Ni1 0.2500 0.9335 0.8669  5 Al 2.39-2.52, 1 Dy 2.57
Ni2 0.7500 0.0665 0.1331  5 Al 2.39-2.52, 1 Dy 2.57
Pd1 0.2500 0.3505 0.7011  5 Al 2.59-2.65
Pd2 0.7500 0.6495 0.2989  5 Al 2.59-2.65

As for the symmetry: Cmcm (63). Its energy of formation is -0.55 eV per atom.

---

Record 2
Dy2Al4Ni3Pt | PBE | relaxed

a b c (Å): 3.9947 3.9947 10.5861
angles (deg): 90.00 90.00 90.00
With the nearest neighbours (Å) after each atom.
Element x y z (fractional)
Dy1 0.5000 0.0000 0.2395  4 Ni 3.03, 8 Al 3.12-3.23
Dy2 0.0000 0.5000 0.7605  4 Ni 3.03, 8 Al 3.12-3.23
Al1 0.5000 0.5000 0.0000  4 Ni 2.46
Al2 0.0000 0.0000 0.0000  4 Ni 2.46
Al3 0.5000 0.0000 0.6362  3 Ni 2.41-2.46, 2 Pt 2.46
Al4 0.0000 0.5000 0.3638  3 Ni 2.41-2.46, 2 Pt 2.46
Ni1 0.0000 0.0000 0.5000  4 Al 2.46
Ni2 0.5000 0.0000 0.8640  5 Al 2.41-2.46
Ni3 0.0000 0.5000 0.1360  5 Al 2.41-2.46
Pt1 0.5000 0.5000 0.5000  4 Al 2.46

As for the symmetry: P-4m2 (115). Its energy of formation is -0.72 eV per atom.

---

Record 3
DyAl3NiPt | PBE | relaxed

a b c (Å): 5.7102 6.1880 6.7517
angles (deg): 117.27 90.00 90.00
With the nearest neighbours (Å) after each atom.
Element x y z (fractional)
Dy1 0.7500 0.2717 0.5434  1 Ni 2.58
Dy2 0.2500 0.7283 0.4566  1 Ni 2.58
Al1 0.2500 0.1438 0.2875  1 Ni 2.41, 1 Pt 2.51
Al2 0.0000 0.2891 0.0000  2 Ni 2.39, 1 Al 2.61, 2 Pt 2.62
Al3 0.5000 0.7109 0.0000  2 Ni 2.39, 1 Al 2.61, 2 Pt 2.62
Al4 0.5000 0.2891 0.0000  2 Ni 2.39, 1 Al 2.61, 2 Pt 2.62
Al5 0.0000 0.7109 0.0000  2 Ni 2.39, 1 Al 2.61, 2 Pt 2.62
Al6 0.7500 0.8562 0.7125  1 Ni 2.41, 1 Pt 2.51
Ni1 0.2500 0.9433 0.8866  5 Al 2.39-2.41, 1 Dy 2.58
Ni2 0.7500 0.0567 0.1134  5 Al 2.39-2.41, 1 Dy 2.58
Pt1 0.2500 0.3527 0.7055  5 Al 2.51-2.62
Pt2 0.7500 0.6473 0.2945  5 Al 2.51-2.62

As for the symmetry: Cmcm (63). Its energy of formation is -0.64 eV per atom.

---

Record 4
DyAl2Ni2Pt | PBE | relaxed

a b c (Å): 4.6326 4.6326 5.3496
angles (deg): 90.00 90.00 90.00
With the nearest neighbours (Å) after each atom.
Element x y z (fractional)
Dy1 0.0000 0.0000 0.5000  2 Pt 2.67
Al1 0.5000 0.0000 0.0000  2 Pt 2.32
Al2 0.0000 0.5000 0.0000  2 Pt 2.32
Ni1 0.5000 0.5000 0.7402  2 Ni 2.57-2.78, 4 Al 2.70
Ni2 0.5000 0.5000 0.2598  2 Ni 2.57-2.78, 4 Al 2.70
Pt1 0.0000 0.0000 0.0000  4 Al 2.32

As for the symmetry: P4/mmm (123). Its energy of formation is -0.25 eV per atom.

---

Record 5
Dy2Al4NiPt3 | PBE | relaxed

a b c (Å): 4.0989 4.0989 10.7694
angles (deg): 90.00 90.00 90.00
With the nearest neighbours (Å) after each atom.
Element x y z (fractional)
Dy1 0.5000 0.0000 0.2537  6 Pt 3.14-3.35, 8 Al 3.17-3.42, 2 Ni 3.35
Dy2 0.0000 0.5000 0.7463  6 Pt 3.14-3.35, 8 Al 3.17-3.42, 2 Ni 3.35
Al1 0.5000 0.5000 0.0000  4 Pt 2.55
Al2 0.0000 0.0000 0.0000  4 Pt 2.55
Al3 0.5000 0.0000 0.6261  2 Ni 2.46, 3 Pt 2.46-2.51
Al4 0.0000 0.5000 0.3739  2 Ni 2.46, 3 Pt 2.46-2.51
Ni1 0.5000 0.5000 0.5000  4 Al 2.46
Pt1 0.0000 0.0000 0.5000  4 Al 2.46
Pt2 0.5000 0.0000 0.8593  5 Al 2.51-2.55
Pt3 0.0000 0.5000 0.1407  5 Al 2.51-2.55

As for the symmetry: P-4m2 (115). Its energy of formation is -1.01 eV per atom.

---

Record 6
DyAlNiRh | PBE | relaxed

a b c (Å): 4.5301 4.5301 4.5301
angles (deg): 60.00 60.00 60.00
With the nearest neighbours (Å) after each atom.
Element x y z (fractional)
Ni1 0.0000 0.0000 0.0000  4 Dy 2.77, 4 Al 2.77
Rh1 0.5000 0.5000 0.5000  4 Al 2.77, 4 Dy 2.77
Al1 0.7500 0.7500 0.7500  4 Rh 2.77, 4 Ni 2.77
Dy1 0.2500 0.2500 0.2500  4 Ni 2.77, 4 Rh 2.77

As for the symmetry: F-43m (216). Its energy of formation is -0.65 eV per atom.

---

Record 7
DyAlNiRu | PBE | relaxed

a b c (Å): 4.5046 4.5046 4.5046
angles (deg): 60.00 60.00 60.00
With the nearest neighbours (Å) after each atom.
Element x y z (fractional)
Ru1 0.2500 0.2500 0.2500  4 Dy 2.76, 4 Al 2.76
Ni1 0.7500 0.7500 0.7500  4 Dy 2.76, 4 Al 2.76
Al1 0.5000 0.5000 0.5000  4 Ni 2.76, 4 Ru 2.76
Dy1 0.0000 0.0000 0.0000  4 Ru 2.76, 4 Ni 2.76

As for the symmetry: F-43m (216). Its energy of formation is -0.43 eV per atom.

---

Record 8
Dy2AlSi2Ni5 | PBE | relaxed

a b c (Å): 3.0246 9.8504 9.8504
angles (deg): 90.00 90.00 90.00
With the nearest neighbours (Å) after each atom.
Element x y z (fractional)
Dy1 0.0000 0.6764 0.1764  3 Si 2.77-3.01, 10 Ni 2.88-3.05, 2 Dy 3.02
Dy2 0.0000 0.3236 0.8236  3 Si 2.77-3.01, 10 Ni 2.88-3.05, 2 Dy 3.02
Dy3 0.0000 0.1764 0.3236  3 Si 2.77-3.01, 10 Ni 2.88-3.05, 2 Dy 3.02
Dy4 0.0000 0.8236 0.6764  3 Si 2.77-3.01, 10 Ni 2.88-3.05, 2 Dy 3.02
Al1 0.0000 0.0000 0.0000  8 Ni 2.58
Al2 0.0000 0.5000 0.5000  8 Ni 2.58
Si1 0.0000 0.1247 0.6247  6 Ni 2.30-2.36
Si2 0.0000 0.8753 0.3753  6 Ni 2.30-2.36
Si3 0.0000 0.6247 0.8753  6 Ni 2.30-2.36
Si4 0.0000 0.3753 0.1247  6 Ni 2.30-2.36
Ni1 0.5000 0.2041 0.0559  2 Si 2.36, 2 Al 2.58
Ni2 0.5000 0.7959 0.9441  2 Si 2.36, 2 Al 2.58
Ni3 0.5000 0.0559 0.7959  2 Si 2.36, 2 Al 2.58
Ni4 0.5000 0.7041 0.4441  2 Si 2.36, 2 Al 2.58
Ni5 0.5000 0.9441 0.2041  2 Si 2.36, 2 Al 2.58
Ni6 0.5000 0.2959 0.5559  2 Si 2.36, 2 Al 2.58
Ni7 0.5000 0.5559 0.7041  2 Si 2.36, 2 Al 2.58
Ni8 0.5000 0.4441 0.2959  2 Si 2.36, 2 Al 2.58
Ni9 0.5000 0.5000 0.0000  4 Si 2.30
Ni10 0.5000 0.0000 0.5000  4 Si 2.30

As for the symmetry: P4/mbm (127). The formation energy from raw total energies is -0.515 eV/atom.

---

Record 9
Dy2AlSi3Ni4 | PBE | relaxed

a b c (Å): 3.9724 3.9724 9.6472
angles (deg): 90.00 90.00 90.00
With the nearest neighbours (Å) after each atom.
Element x y z (fractional)
Dy1 0.5000 0.0000 0.2460  8 Ni 3.03-3.09, 6 Si 3.04-3.15, 2 Al 3.15
Dy2 0.0000 0.5000 0.7540  8 Ni 3.03-3.09, 6 Si 3.04-3.15, 2 Al 3.15
Al1 0.5000 0.5000 0.5000  4 Ni 2.38
Si1 0.0000 0.0000 0.5000  4 Ni 2.38
Si2 0.5000 0.0000 0.8743  5 Ni 2.29-2.33
Si3 0.0000 0.5000 0.1257  5 Ni 2.29-2.33
Ni1 0.5000 0.5000 0.0000  4 Si 2.33
Ni2 0.0000 0.0000 0.0000  4 Si 2.33
Ni3 0.5000 0.0000 0.6367  3 Si 2.29-2.38, 2 Al 2.38
Ni4 0.0000 0.5000 0.3633  3 Si 2.29-2.38, 2 Al 2.38

As for the symmetry: P-4m2 (115). The formation energy from raw total energies is -0.819 eV/atom.

---

Record 10
DyAl2SiNi2 | PBE | relaxed

a b c (Å): 4.2719 4.2719 5.5053
angles (deg): 90.00 90.00 90.00
With the nearest neighbours (Å) after each atom.
Element x y z (fractional)
Dy1 0.0000 0.0000 0.5000  2 Si 2.75
Al1 0.5000 0.5000 0.7421  4 Ni 2.56, 2 Al 2.67-2.84
Al2 0.5000 0.5000 0.2579  4 Ni 2.56, 2 Al 2.67-2.84
Si1 0.0000 0.0000 0.0000  4 Ni 2.14
Ni1 0.5000 0.0000 0.0000  2 Si 2.14
Ni2 0.0000 0.5000 0.0000  2 Si 2.14

As for the symmetry: P4/mmm (123). The formation energy from raw total energies is -0.438 eV/atom.

---

Record 11
DyAlSi2Ni4 | PBE | relaxed

a b c (Å): 3.9471 3.9471 8.5027
angles (deg): 76.58 76.58 60.00
With the nearest neighbours (Å) after each atom.
Element x y z (fractional)
Dy1 0.0000 0.0000 0.0000  6 Ni 2.90, 6 Si 3.18
Al1 0.5000 0.5000 0.5000  8 Ni 2.30-2.43
Si1 0.7568 0.7568 0.7297  6 Ni 2.32-2.51
Si2 0.2432 0.2432 0.2703  6 Ni 2.32-2.51
Ni1 0.4066 0.4066 0.7803  1 Al 2.30, 3 Si 2.32
Ni2 0.8675 0.8675 0.3975  3 Al 2.43, 3 Si 2.51, 3 Ni 2.70
Ni3 0.1325 0.1325 0.6025  3 Al 2.43, 3 Si 2.51, 3 Ni 2.70
Ni4 0.5934 0.5934 0.2197  1 Al 2.30, 3 Si 2.32

As for the symmetry: R-3m (166). The formation energy from raw total energies is -0.607 eV/atom.

---

Record 12
TbDyAlNi | PBE | relaxed

a b c (Å): 4.9829 4.9829 4.9829
angles (deg): 60.00 60.00 60.00
With the nearest neighbours (Å) after each atom.
Element x y z (fractional)
Ni1 0.2500 0.2500 0.2500  4 Tb 3.05, 4 Dy 3.05
Tb1 0.5000 0.5000 0.5000  4 Al 3.05, 4 Ni 3.05
Al1 0.7500 0.7500 0.7500  4 Tb 3.05, 4 Dy 3.05
Dy1 0.0000 0.0000 0.0000  4 Ni 3.05, 4 Al 3.05

As for the symmetry: F-43m (216). Its energy of formation is -0.31 eV per atom.

---

Record 13
DyYAlNi | PBE | relaxed

a b c (Å): 4.9782 4.9782 4.9782
angles (deg): 60.00 60.00 60.00
With the nearest neighbours (Å) after each atom.
Element x y z (fractional)
Y1 0.7500 0.7500 0.7500  4 Ni 3.05, 4 Al 3.05
Ni1 0.5000 0.5000 0.5000  4 Dy 3.05, 4 Y 3.05
Al1 0.0000 0.0000 0.0000  4 Y 3.05, 4 Dy 3.05
Dy1 0.2500 0.2500 0.2500  4 Ni 3.05, 4 Al 3.05

As for the symmetry: F-43m (216). Its energy of formation is -0.32 eV per atom.

---

Record 14
Dy2AlZn12Ni3 | PBE | relaxed

a b c (Å): 6.6585 6.6585 6.6585
angles (deg): 84.53 84.53 84.53
With the nearest neighbours (Å) after each atom.
Element x y z (fractional)
Dy1 0.7541 0.7541 0.7541  3 Ni 2.77, 6 Zn 3.02-3.09, 1 Al 3.09
Dy2 0.2459 0.2459 0.2459  3 Ni 2.77, 6 Zn 3.02-3.09, 1 Al 3.09
Al1 0.0000 0.0000 0.0000  6 Zn 2.55
Zn1 0.4273 0.4273 0.8449  6 Zn 2.52-2.73
Zn2 0.8014 0.8014 0.2869  5 Zn 2.52-2.68, 1 Al 2.55, 1 Ni 2.56
Zn3 0.2869 0.8014 0.8014  5 Zn 2.52-2.68, 1 Al 2.55, 1 Ni 2.56
Zn4 0.8449 0.4273 0.4273  6 Zn 2.52-2.73
Zn5 0.8014 0.2869 0.8014  5 Zn 2.52-2.68, 1 Al 2.55, 1 Ni 2.56
Zn6 0.4273 0.8449 0.4273  6 Zn 2.52-2.73
Zn7 0.5727 0.5727 0.1551  6 Zn 2.52-2.73
Zn8 0.1986 0.1986 0.7131  5 Zn 2.52-2.68, 1 Al 2.55, 1 Ni 2.56
Zn9 0.7131 0.1986 0.1986  5 Zn 2.52-2.68, 1 Al 2.55, 1 Ni 2.56
Zn10 0.1551 0.5727 0.5727  6 Zn 2.52-2.73
Zn11 0.1986 0.7131 0.1986  5 Zn 2.52-2.68, 1 Al 2.55, 1 Ni 2.56
Zn12 0.5727 0.1551 0.5727  6 Zn 2.52-2.73
Ni1 0.5000 0.0000 0.0000  2 Zn 2.56, 2 Dy 2.77
Ni2 0.0000 0.5000 0.0000  2 Zn 2.56, 2 Dy 2.77
Ni3 0.0000 0.0000 0.5000  2 Zn 2.56, 2 Dy 2.77

As for the symmetry: R-3m (166). Its energy of formation is -0.05 eV per atom.

---

Record 15
Dy2AlZn3Ni12 | PBE | relaxed

a b c (Å): 9.3605 9.3605 9.3605
angles (deg): 36.93 36.93 36.93
With the nearest neighbours (Å) after each atom.
Element x y z (fractional)
Dy1 0.6476 0.6476 0.6476  6 Ni 2.87-2.95
Dy2 0.3524 0.3524 0.3524  6 Ni 2.87-2.95
Al1 0.0000 0.0000 0.0000  6 Ni 2.34
Zn1 0.5000 0.0000 0.0000  6 Ni 2.34-2.60
Zn2 0.0000 0.5000 0.0000  6 Ni 2.34-2.60
Zn3 0.0000 0.0000 0.5000  6 Ni 2.34-2.60
Ni1 0.4204 0.4204 0.8112  4 Ni 2.32-2.37, 2 Zn 2.34
Ni2 0.9180 0.9180 0.3662  1 Al 2.34, 2 Ni 2.37, 1 Zn 2.60
Ni3 0.3662 0.9180 0.9180  1 Al 2.34, 2 Ni 2.37, 1 Zn 2.60
Ni4 0.8112 0.4204 0.4204  4 Ni 2.32-2.37, 2 Zn 2.34
Ni5 0.9180 0.3662 0.9180  1 Al 2.34, 2 Ni 2.37, 1 Zn 2.60
Ni6 0.4204 0.8112 0.4204  4 Ni 2.32-2.37, 2 Zn 2.34
Ni7 0.5796 0.5796 0.1888  4 Ni 2.32-2.37, 2 Zn 2.34
Ni8 0.0820 0.0820 0.6338  1 Al 2.34, 2 Ni 2.37, 1 Zn 2.60
Ni9 0.6338 0.0820 0.0820  1 Al 2.34, 2 Ni 2.37, 1 Zn 2.60
Ni10 0.1888 0.5796 0.5796  4 Ni 2.32-2.37, 2 Zn 2.34
Ni11 0.0820 0.6338 0.0820  1 Al 2.34, 2 Ni 2.37, 1 Zn 2.60
Ni12 0.5796 0.1888 0.5796  4 Ni 2.32-2.37, 2 Zn 2.34

As for the symmetry: R-3m (166). Its energy of formation is 0.03 eV per atom.

---

Record 16
DyAlZn2Ni2 | PBE | relaxed

a b c (Å): 4.3365 4.3365 5.5807
angles (deg): 90.00 90.00 90.00
With the nearest neighbours (Å) after each atom.
Element x y z (fractional)
Dy1 0.0000 0.0000 0.5000  2 Al 2.79
Al1 0.0000 0.0000 0.0000  4 Ni 2.17
Zn1 0.5000 0.5000 0.7428  4 Ni 2.60, 2 Zn 2.71-2.87
Zn2 0.5000 0.5000 0.2572  4 Ni 2.60, 2 Zn 2.71-2.87
Ni1 0.5000 0.0000 0.0000  2 Al 2.17
Ni2 0.0000 0.5000 0.0000  2 Al 2.17

As for the symmetry: P4/mmm (123). Its energy of formation is -0.09 eV per atom.

---

Record 17
DyAlZnNi | PBE | relaxed

a b c (Å): 4.5705 4.5705 4.5705
angles (deg): 60.00 60.00 60.00
With the nearest neighbours (Å) after each atom.
Element x y z (fractional)
Ni1 0.2500 0.2500 0.2500  4 Al 2.80, 4 Dy 2.80
Zn1 0.7500 0.7500 0.7500  4 Dy 2.80, 4 Al 2.80
Al1 0.5000 0.5000 0.5000  4 Zn 2.80, 4 Ni 2.80
Dy1 0.0000 0.0000 0.0000  4 Ni 2.80, 4 Zn 2.80

As for the symmetry: F-43m (216). Its energy of formation is -0.41 eV per atom.

---

Record 18
DyNpAl6 | PBE | relaxed

a b c (Å): 4.6814 6.1690 6.1690
angles (deg): 119.97 90.00 90.00
With the nearest neighbours (Å) after each atom.
Element x y z (fractional)
Dy1 0.0000 0.0835 0.9165  12 Al 3.04-3.09
Np1 0.5000 0.4165 0.5835  12 Al 3.03-3.09
Al1 0.0000 0.0574 0.4036  6 Al 2.85, 2 Np 3.03, 2 Dy 3.09
Al2 0.0000 0.5964 0.9426  6 Al 2.85, 2 Np 3.03, 2 Dy 3.09
Al3 0.0000 0.5960 0.4040  6 Al 2.85, 2 Np 3.03, 2 Dy 3.09
Al4 0.5000 0.4471 0.0988  6 Al 2.80-2.85, 2 Dy 3.04, 2 Np 3.09
Al5 0.5000 0.9012 0.5529  6 Al 2.80-2.85, 2 Dy 3.04, 2 Np 3.09
Al6 0.5000 0.9016 0.0984  6 Al 2.80-2.85, 2 Dy 3.04, 2 Np 3.09

As for the symmetry: P-6m2 (187). Its energy of formation is -0.27 eV per atom.

---

Record 19
DyNpAl2O8 | PBE | relaxed

a b c (Å): 5.8176 5.8176 5.8176
angles (deg): 107.62 107.62 113.25
With the nearest neighbours (Å) after each atom.
Element x y z (fractional)
Dy1 0.0000 0.0000 0.0000  8 O 2.24-2.45
Np1 0.2500 0.7500 0.5000  8 O 2.13-2.29
Al1 0.7500 0.2500 0.5000  4 O 1.75
Al2 0.5000 0.5000 0.0000  4 O 1.78
O1 0.3754 0.0532 0.3222  1 Al 1.75
O2 0.3198 0.5166 0.1968  1 Al 1.78
O3 0.3198 0.1229 0.8032  1 Al 1.78
O4 0.7311 0.0532 0.6778  1 Al 1.75
O5 0.8771 0.6802 0.1968  1 Al 1.78
O6 0.9468 0.2689 0.3222  1 Al 1.75
O7 0.9468 0.6246 0.6778  1 Al 1.75
O8 0.4834 0.6802 0.8032  1 Al 1.78

As for the symmetry: I-4m2 (119). The formation energy from raw total energies is -2.783 eV/atom.

---

Record 20
DyNpAlO6 | PBE | relaxed

a b c (Å): 5.2436 5.2436 9.8094
angles (deg): 90.00 90.00 120.00
With the nearest neighbours (Å) after each atom.
Element x y z (fractional)
Dy1 0.0000 0.0000 0.0000  6 O 2.31
Dy2 0.0000 0.0000 0.5000  6 O 2.31
Np1 0.6667 0.3333 0.2500  6 O 2.08
Np2 0.3333 0.6667 0.7500  6 O 2.08
Al1 0.3333 0.6667 0.2500  6 O 1.94
Al2 0.6667 0.3333 0.7500  6 O 1.94
O1 0.6357 0.6552 0.1401  1 Al 1.94, 1 Np 2.08
O2 0.0195 0.3643 0.1401  1 Al 1.94, 1 Np 2.08
O3 0.3643 0.0195 0.6401  1 Al 1.94, 1 Np 2.08
O4 0.9805 0.6357 0.8599  1 Al 1.94, 1 Np 2.08
O5 0.3448 0.3643 0.3599  1 Al 1.94, 1 Np 2.08
O6 0.0195 0.6552 0.3599  1 Al 1.94, 1 Np 2.08
O7 0.6552 0.0195 0.8599  1 Al 1.94, 1 Np 2.08
O8 0.6357 0.9805 0.3599  1 Al 1.94, 1 Np 2.08
O9 0.9805 0.3448 0.6401  1 Al 1.94, 1 Np 2.08
O10 0.3448 0.9805 0.1401  1 Al 1.94, 1 Np 2.08
O11 0.6552 0.6357 0.6401  1 Al 1.94, 1 Np 2.08
O12 0.3643 0.3448 0.8599  1 Al 1.94, 1 Np 2.08

As for the symmetry: P-31c (163). The formation energy from raw total energies is -3.036 eV/atom.